[1]
# Zn2IrRh

A relaxed Zn2IrRh crystal (GGA-PBE, Alexandria via LeMat-Bulk).

- crystal system = orthorhombic
- total DFT energy (no corrections) (eV per formula unit) = -19.3

a = 2.860 Å, b = 4.680 Å, c = 4.284 Å
α = 90.00°, β = 90.00°, γ = 90.00°
Positions (direct):
Rh 0.000 0.500 0.500
Zn 0.500 0.500 0.000
Zn 0.000 0.000 0.000
Ir 0.500 0.000 0.500

[2]
# Nd12ZnNi6

A relaxed Nd12ZnNi6 crystal (GGA-PBE, Alexandria via LeMat-Bulk).

- energy above the most stable polymorph in this dataset (meV/atom) = 164
- crystal system = trigonal

a = 8.370 Å, b = 8.370 Å, c = 8.370 Å
α = 101.18°, β = 101.18°, γ = 101.18°
Positions (direct):
Nd 0.179 0.407 0.570
Nd 0.570 0.179 0.407
Nd 0.430 0.821 0.593
Nd 0.593 0.430 0.821
Nd 0.671 0.905 0.067
Nd 0.905 0.067 0.671
Nd 0.821 0.593 0.430
Nd 0.329 0.095 0.933
Nd 0.095 0.933 0.329
Nd 0.407 0.570 0.179
Nd 0.933 0.329 0.095
Nd 0.067 0.671 0.905
Ni 0.137 0.612 0.323
Ni 0.388 0.677 0.863
Ni 0.863 0.388 0.677
Ni 0.323 0.137 0.612
Ni 0.677 0.863 0.388
Ni 0.612 0.323 0.137
Zn 0.000 0.000 0.000

[3]
# Ta2FeW

A relaxed Ta2FeW crystal (GGA-PBE, Alexandria via LeMat-Bulk).

- crystal system = monoclinic
- total DFT energy (no corrections) (eV per formula unit) = -44.8

a = 4.490 Å, b = 2.783 Å, c = 5.202 Å
α = 79.82°, β = 90.00°, γ = 90.00°
Positions (direct):
Ta 0.500 0.257 0.257
Ta 0.000 0.987 0.992
W 0.000 0.510 0.499
Fe 0.500 0.747 0.753

Copy entry 3 word for word.
# Ta2FeW

A relaxed Ta2FeW crystal (GGA-PBE, Alexandria via LeMat-Bulk).

- crystal system = monoclinic
- total DFT energy (no corrections) (eV per formula unit) = -44.8

a = 4.490 Å, b = 2.783 Å, c = 5.202 Å
α = 79.82°, β = 90.00°, γ = 90.00°
Positions (direct):
Ta 0.500 0.257 0.257
Ta 0.000 0.987 0.992
W 0.000 0.510 0.499
Fe 0.500 0.747 0.753